No. 1
VASP calculation (PBE) on NpPaHgO6 after structural relaxation.

* crystal system: trigonal
* formation energy without anion corrections: -2.479 eV per atom
* symmetry: No. 163

The structure in CIF format:
```
data_NpPaHgO6
_cell_length_a 5.965
_cell_length_b 5.965
_cell_length_c 10.281
_cell_angle_alpha 90.00
_cell_angle_beta 90.00
_cell_angle_gamma 120.00
_space_group_name_H-M_alt 'P 1'
_space_group_IT_number 1
loop_
_space_group_symop_operation_xyz
'x,y,z'
loop_
_atom_site_label
_atom_site_type_symbol
_atom_site_fract_x
_atom_site_fract_y
_atom_site_fract_z
Np1 Np 0.333 0.667 0.250
Np2 Np 0.667 0.333 0.750
Pa1 Pa 0.333 0.667 0.750
Pa2 Pa 0.667 0.333 0.250
Hg1 Hg 0.000 0.000 0.000
Hg2 Hg 0.000 0.000 0.500
O1 O 0.013 0.384 0.148
O2 O 0.013 0.629 0.352
O3 O 0.371 0.384 0.352
O4 O 0.371 0.987 0.148
O5 O 0.384 0.013 0.648
O6 O 0.384 0.371 0.852
O7 O 0.616 0.629 0.148
O8 O 0.616 0.987 0.352
O9 O 0.629 0.013 0.852
O10 O 0.629 0.616 0.648
O11 O 0.987 0.371 0.648
O12 O 0.987 0.616 0.852
```

=====

No. 2
VASP calculation (PBE) on LiDy2Ga6 after structural relaxation.

* offset from the most stable computed form: 0.0 meV/atom
* crystal system: hexagonal
* energy of formation from the pure elements: -459 meV/atom
* symmetry: No. 191

The structure in CIF format:
```
data_LiDy2Ga6
_cell_length_a 7.727
_cell_length_b 7.727
_cell_length_c 3.408
_cell_angle_alpha 90.00
_cell_angle_beta 90.00
_cell_angle_gamma 120.00
_space_group_name_H-M_alt 'P 1'
_space_group_IT_number 1
loop_
_space_group_symop_operation_xyz
'x,y,z'
loop_
_atom_site_label
_atom_site_type_symbol
_atom_site_fract_x
_atom_site_fract_y
_atom_site_fract_z
Li1 Li 0.000 0.000 0.000
Dy1 Dy 0.333 0.667 0.000
Dy2 Dy 0.667 0.333 0.000
Ga1 Ga 0.000 0.329 0.500
Ga2 Ga 0.000 0.671 0.500
Ga3 Ga 0.329 0.000 0.500
Ga4 Ga 0.329 0.329 0.500
Ga5 Ga 0.671 0.000 0.500
Ga6 Ga 0.671 0.671 0.500
```